[1]
# Sr3TiAu (meta-GGA SCAN, single point on PBEsol structure)
data_Sr3TiAu
_chemical_formula_sum 'Sr3 Ti1 Au1'
_symmetry_space_group_name_H-M 'P 1'
_symmetry_Int_Tables_number 1
_cell_length_a 5.898
_cell_length_b 5.898
_cell_length_c 5.898
_cell_angle_alpha 90.00
_cell_angle_beta 90.00
_cell_angle_gamma 90.00
loop_
_symmetry_equiv_pos_as_xyz
'x,y,z'
loop_
_atom_site_label
_atom_site_fract_x
_atom_site_fract_y
_atom_site_fract_z
_atom_site_occupancy
Sr1 0.000 0.500 0.000 1
Sr2 0.000 0.000 0.500 1
Sr3 0.500 0.000 0.000 1
Au1 0.500 0.500 0.500 1
Ti1 0.000 0.000 0.000 1
# - Crystal system: cubic



[2]
# SrTlAu4 (meta-GGA SCAN, single point on PBEsol structure)
data_SrTlAu4
_chemical_formula_sum 'Sr1 Tl1 Au4'
_symmetry_space_group_name_H-M 'P 1'
_symmetry_Int_Tables_number 1
_cell_length_a 5.621
_cell_length_b 5.621
_cell_length_c 5.621
_cell_angle_alpha 60.00
_cell_angle_beta 60.00
_cell_angle_gamma 60.00
loop_
_symmetry_equiv_pos_as_xyz
'x,y,z'
loop_
_atom_site_label
_atom_site_fract_x
_atom_site_fract_y
_atom_site_fract_z
_atom_site_occupancy
Sr1 0.750 0.750 0.750 1
Tl1 0.000 0.000 0.000 1
Au1 0.375 0.375 0.375 1
Au2 0.375 0.375 0.875 1
Au3 0.875 0.375 0.375 1
Au4 0.375 0.875 0.375 1
# - Crystal system: cubic



[3]
# SrWAu2 (meta-GGA SCAN, single point on PBEsol structure)
data_SrWAu2
_chemical_formula_sum 'Sr1 W1 Au2'
_symmetry_space_group_name_H-M 'P 1'
_symmetry_Int_Tables_number 1
_cell_length_a 4.126
_cell_length_b 4.126
_cell_length_c 5.537
_cell_angle_alpha 111.88
_cell_angle_beta 111.88
_cell_angle_gamma 90.00
loop_
_symmetry_equiv_pos_as_xyz
'x,y,z'
loop_
_atom_site_label
_atom_site_fract_x
_atom_site_fract_y
_atom_site_fract_z
_atom_site_occupancy
Au1 0.000 0.000 0.000 1
Au2 0.750 0.250 0.500 1
Sr1 0.500 0.500 0.000 1
W1 0.250 0.750 0.500 1
# - Crystal system: tetragonal



[4]
# SrW2Au (meta-GGA SCAN, single point on PBEsol structure)
data_SrW2Au
_chemical_formula_sum 'Sr1 W2 Au1'
_symmetry_space_group_name_H-M 'P 1'
_symmetry_Int_Tables_number 1
_cell_length_a 2.766
_cell_length_b 5.018
_cell_length_c 6.302
_cell_angle_alpha 113.46
_cell_angle_beta 102.68
_cell_angle_gamma 90.00
loop_
_symmetry_equiv_pos_as_xyz
'x,y,z'
loop_
_atom_site_label
_atom_site_fract_x
_atom_site_fract_y
_atom_site_fract_z
_atom_site_occupancy
Au1 0.500 0.000 0.000 1
Sr1 0.000 0.500 0.000 1
W1 0.779 0.779 0.559 1
W2 0.221 0.221 0.441 1
# - Crystal system: orthorhombic



[5]
# SrW2Au (meta-GGA SCAN, single point on PBEsol structure)
data_SrW2Au
_chemical_formula_sum 'Sr1 W2 Au1'
_symmetry_space_group_name_H-M 'P 1'
_symmetry_Int_Tables_number 1
_cell_length_a 2.732
_cell_length_b 5.265
_cell_length_c 5.990
_cell_angle_alpha 114.30
_cell_angle_beta 100.03
_cell_angle_gamma 97.05
loop_
_symmetry_equiv_pos_as_xyz
'x,y,z'
loop_
_atom_site_label
_atom_site_fract_x
_atom_site_fract_y
_atom_site_fract_z
_atom_site_occupancy
Au1 0.500 0.000 0.000 1
Sr1 0.000 0.500 0.000 1
W1 0.000 0.000 0.500 1
W2 0.500 0.500 0.500 1
# - Crystal system: monoclinic



[6]
# SrWAu2 (meta-GGA SCAN, single point on PBEsol structure)
data_SrWAu2
_chemical_formula_sum 'Sr1 W1 Au2'
_symmetry_space_group_name_H-M 'P 1'
_symmetry_Int_Tables_number 1
_cell_length_a 2.873
_cell_length_b 3.945
_cell_length_c 7.095
_cell_angle_alpha 90.00
_cell_angle_beta 90.00
_cell_angle_gamma 90.00
loop_
_symmetry_equiv_pos_as_xyz
'x,y,z'
loop_
_atom_site_label
_atom_site_fract_x
_atom_site_fract_y
_atom_site_fract_z
_atom_site_occupancy
Au1 0.000 0.000 0.696 1
Au2 0.000 0.000 0.304 1
Sr1 0.500 0.500 0.000 1
W1 0.500 0.500 0.500 1
# - Crystal system: orthorhombic



[7]
# SrW2Au (meta-GGA SCAN, single point on PBEsol structure)
data_SrW2Au
_chemical_formula_sum 'Sr1 W2 Au1'
_symmetry_space_group_name_H-M 'P 1'
_symmetry_Int_Tables_number 1
_cell_length_a 2.761
_cell_length_b 2.761
_cell_length_c 9.757
_cell_angle_alpha 90.00
_cell_angle_beta 90.00
_cell_angle_gamma 90.47
loop_
_symmetry_equiv_pos_as_xyz
'x,y,z'
loop_
_atom_site_label
_atom_site_fract_x
_atom_site_fract_y
_atom_site_fract_z
_atom_site_occupancy
Au1 0.500 0.500 0.500 1
Sr1 0.500 0.500 0.000 1
W1 0.000 0.000 0.281 1
W2 0.000 0.000 0.719 1
# - Crystal system: orthorhombic



[8]
# SrWAu2 (meta-GGA SCAN, single point on PBEsol structure)
data_SrWAu2
_chemical_formula_sum 'Sr1 W1 Au2'
_symmetry_space_group_name_H-M 'P 1'
_symmetry_Int_Tables_number 1
_cell_length_a 2.942
_cell_length_b 4.219
_cell_length_c 6.683
_cell_angle_alpha 90.00
_cell_angle_beta 90.00
_cell_angle_gamma 90.00
loop_
_symmetry_equiv_pos_as_xyz
'x,y,z'
loop_
_atom_site_label
_atom_site_fract_x
_atom_site_fract_y
_atom_site_fract_z
_atom_site_occupancy
Au1 0.000 0.000 0.962 1
Au2 0.500 0.500 0.227 1
Sr1 0.000 0.000 0.485 1
W1 0.500 0.500 0.826 1
# - Crystal system: orthorhombic



[9]
# SrYAu2 (meta-GGA SCAN, single point on PBEsol structure)
data_SrYAu2
_chemical_formula_sum 'Sr1 Y1 Au2'
_symmetry_space_group_name_H-M 'P 1'
_symmetry_Int_Tables_number 1
_cell_length_a 3.864
_cell_length_b 4.728
_cell_length_c 5.841
_cell_angle_alpha 90.00
_cell_angle_beta 109.32
_cell_angle_gamma 90.00
loop_
_symmetry_equiv_pos_as_xyz
'x,y,z'
loop_
_atom_site_label
_atom_site_fract_x
_atom_site_fract_y
_atom_site_fract_z
_atom_site_occupancy
Y1 0.759 0.500 0.519 1
Sr1 0.484 0.000 0.968 1
Au1 0.046 0.500 0.092 1
Au2 0.211 0.000 0.421 1
# - Crystal system: orthorhombic



[10]
# SrY2Au (meta-GGA SCAN, single point on PBEsol structure)
data_SrY2Au
_chemical_formula_sum 'Sr1 Y2 Au1'
_symmetry_space_group_name_H-M 'P 1'
_symmetry_Int_Tables_number 1
_cell_length_a 3.639
_cell_length_b 3.639
_cell_length_c 9.069
_cell_angle_alpha 90.00
_cell_angle_beta 90.00
_cell_angle_gamma 90.00
loop_
_symmetry_equiv_pos_as_xyz
'x,y,z'
loop_
_atom_site_label
_atom_site_fract_x
_atom_site_fract_y
_atom_site_fract_z
_atom_site_occupancy
Au1 0.000 0.000 0.466 1
Sr1 0.500 0.500 0.697 1
Y1 0.000 0.000 0.037 1
Y2 0.500 0.500 0.301 1
# - Crystal system: tetragonal



[11]
# SrY2Au (meta-GGA SCAN, single point on PBEsol structure)
data_SrY2Au
_chemical_formula_sum 'Sr1 Y2 Au1'
_symmetry_space_group_name_H-M 'P 1'
_symmetry_Int_Tables_number 1
_cell_length_a 3.523
_cell_length_b 5.617
_cell_length_c 6.521
_cell_angle_alpha 114.30
_cell_angle_beta 103.85
_cell_angle_gamma 94.08
loop_
_symmetry_equiv_pos_as_xyz
'x,y,z'
loop_
_atom_site_label
_atom_site_fract_x
_atom_site_fract_y
_atom_site_fract_z
_atom_site_occupancy
Au1 0.500 0.000 0.000 1
Sr1 0.000 0.500 0.000 1
Y1 0.000 0.000 0.500 1
Y2 0.500 0.500 0.500 1
# - Crystal system: monoclinic



[12]
# SrYAu2 (meta-GGA SCAN, single point on PBEsol structure)
data_SrYAu2
_chemical_formula_sum 'Sr1 Y1 Au2'
_symmetry_space_group_name_H-M 'P 1'
_symmetry_Int_Tables_number 1
_cell_length_a 3.619
_cell_length_b 3.619
_cell_length_c 7.444
_cell_angle_alpha 90.00
_cell_angle_beta 90.00
_cell_angle_gamma 90.00
loop_
_symmetry_equiv_pos_as_xyz
'x,y,z'
loop_
_atom_site_label
_atom_site_fract_x
_atom_site_fract_y
_atom_site_fract_z
_atom_site_occupancy
Y1 0.500 0.500 0.500 1
Sr1 0.500 0.500 0.000 1
Au1 0.000 0.000 0.711 1
Au2 0.000 0.000 0.289 1
# - Crystal system: tetragonal



[13]
# SrYAu2 (meta-GGA SCAN, single point on PBEsol structure)
data_SrYAu2
_chemical_formula_sum 'Sr1 Y1 Au2'
_symmetry_space_group_name_H-M 'P 1'
_symmetry_Int_Tables_number 1
_cell_length_a 5.139
_cell_length_b 5.139
_cell_length_c 5.139
_cell_angle_alpha 60.00
_cell_angle_beta 60.00
_cell_angle_gamma 60.00
loop_
_symmetry_equiv_pos_as_xyz
'x,y,z'
loop_
_atom_site_label
_atom_site_fract_x
_atom_site_fract_y
_atom_site_fract_z
_atom_site_occupancy
Y1 0.500 0.500 0.500 1
Sr1 0.000 0.000 0.000 1
Au1 0.250 0.250 0.250 1
Au2 0.750 0.750 0.750 1
# - Crystal system: cubic



[14]
# SrY3Au (meta-GGA SCAN, single point on PBEsol structure)
data_SrY3Au
_chemical_formula_sum 'Sr1 Y3 Au1'
_symmetry_space_group_name_H-M 'P 1'
_symmetry_Int_Tables_number 1
_cell_length_a 5.366
_cell_length_b 5.366
_cell_length_c 5.366
_cell_angle_alpha 90.00
_cell_angle_beta 90.00
_cell_angle_gamma 90.00
loop_
_symmetry_equiv_pos_as_xyz
'x,y,z'
loop_
_atom_site_label
_atom_site_fract_x
_atom_site_fract_y
_atom_site_fract_z
_atom_site_occupancy
Y1 0.000 0.500 0.000 1
Y2 0.000 0.000 0.500 1
Y3 0.500 0.000 0.000 1
Sr1 0.000 0.000 0.000 1
Au1 0.500 0.500 0.500 1
# - Crystal system: cubic



Quick rundown of formation enthalpy at 0 K, same order as above: 3.75; -2.71; 2.36; 2.82; 3.85; 0.66; 3.95; 1.71; -3.88; -1.89; -0.22; -4.03; -3.66; 6.24 eV/f.u.